The following is a DFT calculation (PBE-GGA) of an optimized crystal structure of MoPtCl3.

a = 4.9127 Å, b = 4.9127 Å, c = 4.9127 Å
α = 90.00°, β = 90.00°, γ = 90.00°
Element x y z (fractional)
Mo  0.0000  0.0000  0.0000
Pt  0.5000  0.5000  0.5000
Cl  0.0000  0.5000  0.5000
Cl  0.5000  0.0000  0.5000
Cl  0.5000  0.5000  0.0000

raw formation energy = 548 meV/atom
mass density = 5.6 Mg/m³
energy above the lowest structure with this stoichiometry = 0.25 eV/f.u.
size of the total moment = 4.77 μB per formula unit